No. 1
Here is a relaxed RuAu2 crystal from the Alexandria database. Energies are from PBE.

Lattice parameters (Å, degrees): 4.6186 4.6186 5.5931 90.00 90.00 120.00
With the nearest neighbours (Å) after each atom.
Space group P6_3/mmc (No. 194)
Asymmetric unit:
Ru (0.3333, 0.6667, 0.2500) (multiplicity 2)  5 Au 2.67-2.80
Au (0.0000, 0.0000, 0.0000) (multiplicity 2)  8 Au 2.80-3.01, 6 Ru 3.01
Au (0.3333, 0.6667, 0.7500) (multiplicity 2)  5 Ru 2.67-2.80

Computed properties:
The value obtained for the volume is 17.22 Å³/atom. Its energy above the lowest structure with this stoichiometry is 0.720 eV per formula unit.



No. 2
Here is a relaxed RuAu crystal from the Alexandria database. Energies are from PBE.

Lattice parameters (Å, degrees): 2.8123 2.8123 8.1359 90.00 90.00 90.00
With the nearest neighbours (Å) after each atom.
Space group P4/nmm (No. 129, origin choice 2)
Asymmetric unit:
Ru (0.2500, 0.2500, 0.0994) (multiplicity 2)  8 Ru 2.56-2.81
Au (0.2500, 0.2500, 0.6389) (multiplicity 2)  8 Au 2.81-3.01, 4 Ru 2.91

Computed properties:
The value obtained for the volume is 16.09 Å³/atom. Its energy above the lowest structure with this stoichiometry is 0.000 eV per formula unit.



| no. | theoretical density (g/cm3) | formation enthalpy at 0 K (meV/atom) |
| --- | --- | --- |
| 1 | 15.91 | 552 |
| 2 | 15.38 | 178 |